Below is a relaxed structure of NdSm4Tm3Se8, with properties calculated at the PBE level.

Results
spin magnetization: 0.000 μB per formula unit
uncorrected formation energy: -1.755 eV per atom
E_tot: -5.814 eV/atom

CIF file:
```
data_NdSm4Tm3Se8
_symmetry_space_group_name_H-M 'P 1'
_symmetry_Int_Tables_number 1
_cell_length_a 8.205
_cell_length_b 8.295
_cell_length_c 8.205
_cell_angle_alpha 119.64
_cell_angle_beta 120.00
_cell_angle_gamma 90.00
loop_
_symmetry_equiv_pos_as_xyz
'x,y,z'
loop_
_atom_site_label
_atom_site_fract_x
_atom_site_fract_y
_atom_site_fract_z
Se1 0.738 0.741 0.989
Se2 0.748 0.259 0.011
Se3 0.262 0.259 0.011
Sm1 0.000 0.000 0.000
Se4 0.745 0.734 0.490
Tm1 0.500 0.500 0.500
Tm2 0.000 0.500 0.500
Sm2 0.500 0.000 0.000
Se5 0.255 0.266 0.510
Se6 0.252 0.741 0.503
Tm3 0.500 0.500 0.000
Nd1 0.000 0.500 0.000
Sm3 0.500 0.000 0.500
Se7 0.252 0.741 0.989
Sm4 0.000 0.000 0.500
Se8 0.748 0.259 0.497
```